First-principles (PBE) data for Ta2Tl3Sn3 after structural relaxation, as listed in the Open Quantum Materials Database.

Lattice parameters (Å, degrees): 4.1364 4.1364 13.9780 90.00 90.00 90.00
With the nearest neighbours (Å) after each atom.
Element x y z (fractional)
Sn (0.0000, 0.0000, 0.0000)  4 Ta 2.89, 4 Sn 2.92
Sn (0.5000, 0.5000, 0.0000)  4 Ta 2.89, 4 Sn 2.92
Sn (0.5000, 0.5000, 0.5000)  4 Tl 2.92
Tl (0.0000, 0.0000, 0.5000)  4 Sn 2.92, 2 Tl 2.97
Tl (0.0000, 0.0000, 0.2877)  2 Ta 2.88, 1 Tl 2.97
Tl (0.0000, 0.0000, 0.7123)  2 Ta 2.88, 1 Tl 2.97
Ta (0.5000, 0.0000, 0.8560)  2 Tl 2.88, 4 Sn 2.89
Ta (0.0000, 0.5000, 0.1440)  2 Tl 2.88, 4 Sn 2.89

## Properties
Total DFT energy (no corrections): -4.482 eV/atom
Space-group type: P-4m2



First-principles (PBE) data for TmScCu after structural relaxation, as listed in the Open Quantum Materials Database.

Lattice parameters (Å, degrees): 4.6293 4.6293 4.6293 60.00 60.00 60.00
With the nearest neighbours (Å) after each atom.
Element x y z (fractional)
Sc (0.2500, 0.2500, 0.2500)  4 Cu 2.83
Cu (0.0000, 0.0000, 0.0000)  4 Sc 2.83, 4 Tm 2.83
Tm (0.7500, 0.7500, 0.7500)  4 Cu 2.83

## Properties
Formation enthalpy at 0 K: 53.3 meV per atom
Offset from the most stable computed form: 0.0 meV per atom
Total DFT energy (no corrections): -4.787 eV/atom
Space-group type: F-43m



First-principles (PBE) data for HfBeFeSb after structural relaxation, as listed in the Open Quantum Materials Database.

Lattice parameters (Å, degrees): 4.4064 4.4064 4.4064 60.00 60.00 60.00
With the nearest neighbours (Å) after each atom.
Element x y z (fractional)
Hf (0.5000, 0.5000, 0.5000)  4 Fe 2.70, 4 Be 2.70
Sb (0.0000, 0.0000, 0.0000)  4 Be 2.70, 4 Fe 2.70
Fe (0.7500, 0.7500, 0.7500)  4 Hf 2.70, 4 Sb 2.70
Be (0.2500, 0.2500, 0.2500)  4 Sb 2.70, 4 Hf 2.70

## Properties
Offset from the most stable computed form: 0.0 meV per atom
Total DFT energy (no corrections): -6.474 eV/atom
Space-group type: F-43m



First-principles (PBE) data for La2SiPd6 after structural relaxation, as listed in the Open Quantum Materials Database.

Lattice parameters (Å, degrees): 5.8042 5.8042 5.8269 90.03 90.03 59.98
With the nearest neighbours (Å) after each atom.
Element x y z (fractional)
Pd (0.8299, 0.3389, 0.6990)  1 Si 2.44
Pd (0.6611, 0.1701, 0.3010)  1 Si 2.44
Pd (0.3389, 0.8299, 0.6990)  1 Si 2.44
Pd (0.1701, 0.6611, 0.3010)  1 Si 2.44
Pd (0.1701, 0.1701, 0.3010)  1 Si 2.45
Pd (0.8299, 0.8299, 0.6990)  1 Si 2.45
La (0.6670, 0.6670, 0.1899)  9 Pd 2.97-3.30
La (0.3330, 0.3330, 0.8102)  9 Pd 2.97-3.30
Si (0.0000, 0.0000, 0.0000)  6 Pd 2.44-2.45

## Properties
Total DFT energy (no corrections): -5.997 eV/atom
Space-group type: P-3m1



First-principles (PBE) data for NaNbTeW after structural relaxation, as listed in the Open Quantum Materials Database.

Lattice parameters (Å, degrees): 4.6879 4.6879 4.6879 60.00 60.00 60.00
With the nearest neighbours (Å) after each atom.
Element x y z (fractional)
Te (0.5000, 0.5000, 0.5000)  4 W 2.87, 4 Na 2.87
Na (0.7500, 0.7500, 0.7500)  4 Te 2.87, 4 Nb 2.87
W (0.2500, 0.2500, 0.2500)  4 Te 2.87, 4 Nb 2.87
Nb (0.0000, 0.0000, 0.0000)  4 Na 2.87, 4 W 2.87

## Properties
Offset from the most stable computed form: 0.0 meV per atom
Total DFT energy (no corrections): -6.322 eV/atom
Space-group type: F-43m



First-principles (PBE) data for LuInPd after structural relaxation, as listed in the Open Quantum Materials Database.

Lattice parameters (Å, degrees): 8.0958 8.0958 3.3072 90.00 90.00 120.00
With the nearest neighbours (Å) after each atom.
Element x y z (fractional)
Pd (0.6288, 0.0000, 0.5000)  5 In 3.00-3.05, 6 Lu 3.16-3.21, 2 Pd 3.31
Pd (0.0000, 0.6288, 0.5000)  5 In 3.00-3.05, 6 Lu 3.16-3.21, 2 Pd 3.31
Pd (0.3712, 0.3712, 0.5000)  5 In 3.00-3.05, 6 Lu 3.16-3.21, 2 Pd 3.31
Lu (0.7036, 0.7036, 0.0000)  4 In 2.86-2.91, 2 Pd 3.16
Lu (0.0000, 0.2964, 0.0000)  4 In 2.86-2.91, 2 Pd 3.16
Lu (0.2964, 0.0000, 0.0000)  4 In 2.86-2.91, 2 Pd 3.16
In (0.3333, 0.6667, 0.0000)  3 Lu 2.86, 6 Pd 3.05
In (0.6667, 0.3333, 0.0000)  3 Lu 2.86, 6 Pd 3.05
In (0.0000, 0.0000, 0.5000)  6 Lu 2.91, 3 Pd 3.00

## Properties
Total DFT energy (no corrections): -4.532 eV/atom
Space-group type: P-62m



Q: What is the total DFT energy (no corrections) in the third record?
A: -6.474 eV/atom